The following is a DFT calculation (GGA-PBE) of a relaxed NaCoRe3 crystal.

Summary:
- Symmetry: Pm-3m (221)
- Formation enthalpy at 0 K: 1.7634 eV/atom

```
NaCoRe3
1.0
4.483 0.000 0.000
0.000 4.483 0.000
0.000 0.000 4.483
Re Co Na
3 1 1
Cartesian
0.000 2.242 0.000
0.000 0.000 2.242
2.242 0.000 0.000
0.000 0.000 0.000
2.242 2.242 2.242
```